(1)
DFT (PBE) results for InTeIrCl after structural relaxation.

a = 8.685 Å, b = 8.685 Å, c = 8.685 Å
α = 24.64°, β = 24.64°, γ = 24.64°
Element x y z (fractional)
In1 0.000 0.000 0.000
Te1 0.465 0.465 0.465
Ir1 0.741 0.741 0.741
Cl1 0.261 0.261 0.261

Properties
Total magnetic moment: 0.00 μB per formula unit
Energy above the lowest structure with this stoichiometry: 0.000 eV per formula unit

(2)
DFT (PBE) results for InTeIrCl after structural relaxation.

a = 3.768 Å, b = 3.768 Å, c = 8.357 Å
α = 90.42°, β = 90.42°, γ = 59.73°
Element x y z (fractional)
In1 0.000 0.000 0.000
Te1 0.331 0.331 0.616
Ir1 0.665 0.665 0.787
Cl1 0.996 0.996 0.288

Properties
Total magnetic moment: 0.00 μB per formula unit
Energy above the lowest structure with this stoichiometry: 0.071 eV per formula unit

no.,uncorrected formation energy (eV per atom)
1,-0.364
2,-0.346